Density functional theory data (GGA-PBE) for a relaxed RbGeB2F crystal.

a b c (Å): 4.0097 4.0097 8.5900
angles (deg): 90.00 90.00 90.00
Fractional coordinates of all 5 atoms:
Rb1 0.0000 0.0000 0.0000
Ge1 0.0000 0.0000 0.5000
B1 0.0000 0.5000 0.5000
B2 0.5000 0.0000 0.5000
F1 0.5000 0.5000 0.0000

Summary:
The formation energy (no corrections) is 1.540 eV per formula unit. As for the symmetry: P4/mmm (123). The total magnetic moment is 0.00 μB per formula unit. Its total energy is -3.8543 eV/atom.